Computed, not measured: a relaxed structure of Be2ReSb at the PBE level of DFT.

formation energy from raw total energies: 0.395 eV/atom
total energy: -5.611 eV/atom
DOS(E_F): 1.840 states/eV/cell
total magnetic moment: 0.000 μB per atom
theoretical density: 10.086 g/cm3

a b c (Å): 3.4839 3.1799 5.1069
angles (deg): 71.56 90.00 90.00
With the nearest neighbours (Å) after each atom.
Fractional coordinates of all 4 atoms:
Sb: 0.5000 0.7952 0.7805  5 Be 2.48-2.64
Be: 0.0000 0.1751 0.0238  2 Be 2.11
Be: 0.5000 0.0542 0.2690  2 Be 2.11
Re: 0.0000 0.4755 0.4266  6 Be 2.48-2.53

***

Computed, not measured: a relaxed structure of Pa4Ge3S at the PBE level of DFT.

formation energy from raw total energies: -0.737 eV/atom
total energy: -7.732 eV/atom
DOS(E_F): 9.704 states/eV/cell
total magnetic moment: 0.000 μB per atom
theoretical density: 10.155 g/cm3

a b c (Å): 4.0907 7.0590 7.0590
angles (deg): 70.37 90.00 90.00
With the nearest neighbours (Å) after each atom.
Fractional coordinates of all 8 atoms:
Pa: 0.0000 0.2585 0.2416  2 S 2.84, 4 Ge 2.89-2.93
Pa: 0.4999 0.7458 0.2456  1 S 2.83, 5 Ge 2.88-2.93
Pa: 0.4999 0.2544 0.7543  1 S 2.83, 5 Ge 2.88-2.93
Pa: 0.0000 0.7418 0.7583  2 S 2.84, 4 Ge 2.89-2.93
Ge: 0.9999 0.0001 0.0000  6 Pa 2.88-2.89
Ge: 0.9999 0.5001 0.5000  6 Pa 2.88-2.89
Ge: 0.5000 0.0001 0.5000  6 Pa 2.93
S: 0.5000 0.5001 0.9999  6 Pa 2.83-2.84

***

Computed, not measured: a relaxed structure of MgCoSi2 at the PBE level of DFT.

formation energy from raw total energies: -0.084 eV/atom
total energy: -4.971 eV/atom
DOS(E_F): 1.553 states/eV/cell
total magnetic moment: 0.000 μB per atom
theoretical density: 3.978 g/cm3

a b c (Å): 3.9990 3.0324 4.7983
angles (deg): 90.10 90.00 90.00
With the nearest neighbours (Å) after each atom.
Fractional coordinates of all 4 atoms:
Mg: 0.5000 0.7500 0.7500  8 Si 2.79, 4 Co 2.84, 2 Mg 3.03
Si: 0.0000 0.2509 0.0019  2 Co 2.33, 2 Si 2.38-2.42
Si: 0.0000 0.2491 0.4981  2 Co 2.33, 2 Si 2.38-2.42
Co: 0.5000 0.2500 0.2500  4 Si 2.33

***

Computed, not measured: a relaxed structure of BaCr2PIr at the PBE level of DFT.

total energy: -6.770 eV/atom
DOS(E_F): 4.054 states/eV/cell
total magnetic moment: 1.238 μB per atom
energy of formation from the pure elements: 0.32 eV per atom
theoretical density: 7.626 g/cm3

a b c (Å): 4.6649 4.6481 4.6649
angles (deg): 90.00 90.00 90.00
With the nearest neighbours (Å) after each atom.
Fractional coordinates of all 5 atoms:
Cr: 0.0000 0.0000 0.5000  2 P 2.33
Cr: 0.5000 0.0000 0.0000  2 P 2.33
P: 0.0000 0.0000 0.0000  2 Ir 2.32, 4 Cr 2.33
Ir: 0.0000 0.5000 0.0000  2 P 2.32
Ba: 0.5000 0.5000 0.5000  8 Cr 3.29, 4 Ir 3.30

***

Computed, not measured: a relaxed structure of Hf2MnI at the PBE level of DFT.

ΔE to the lowest computed polymorph: 0.264 eV per atom
formation energy from raw total energies: 0.748 eV/atom
total energy: -6.909 eV/atom
DOS(E_F): 0.260 states/eV/cell
total magnetic moment: 0.000 μB per atom
theoretical density: 7.999 g/cm3

a b c (Å): 6.1074 6.1074 7.3905
angles (deg): 65.59 65.59 90.00
With the nearest neighbours (Å) after each atom.
Fractional coordinates of all 8 atoms:
Hf: 0.3750 0.4848 0.7500  2 Mn 2.30
Hf: 0.2348 0.6250 0.2500  2 Mn 2.30
Hf: 0.8750 0.7652 0.7500  2 Mn 2.30
Hf: 0.5152 0.1250 0.2500  2 Mn 2.30
Mn: 0.5000 0.5000 0.0000  4 Hf 2.30
Mn: 0.2500 0.7500 0.5000  4 Hf 2.30
I: 0.0000 0.0000 0.0000  4 Hf 3.07
I: 0.7500 0.2500 0.5000  4 Hf 3.07

***

Computed, not measured: a relaxed structure of Ca2Mg2Cd at the PBE level of DFT.

ΔE to the lowest computed polymorph: 0.000 eV per atom
total energy: -1.744 eV/atom
DOS(E_F): 3.808 states/eV/cell
total magnetic moment: 0.000 μB per atom
energy of formation from the pure elements: -0.12 eV per atom
theoretical density: 2.793 g/cm3

a b c (Å): 3.6370 4.9908 8.2851
angles (deg): 72.47 90.00 90.00
With the nearest neighbours (Å) after each atom.
Fractional coordinates of all 5 atoms:
Ca: 0.5000 0.6092 0.7816  6 Mg 3.39-3.56, 3 Ca 3.45-3.64, 4 Cd 3.54
Ca: 0.5000 0.3908 0.2184  6 Mg 3.39-3.56, 3 Ca 3.45-3.64, 4 Cd 3.54
Mg: 0.0000 0.8030 0.3941  2 Mg 3.00, 1 Cd 3.11
Mg: 0.0000 0.1970 0.6059  2 Mg 3.00, 1 Cd 3.11
Cd: 0.0000 0.0000 0.0000  2 Mg 3.11

***

Computed, not measured: a relaxed structure of MnTeS2 at the PBE level of DFT.

formation energy from raw total energies: -0.014 eV/atom
total energy: -5.155 eV/atom
DOS(E_F): 2.302 states/eV/cell
total magnetic moment: 0.000 μB per atom
theoretical density: 4.715 g/cm3

a b c (Å): 8.2260 8.2260 8.2260
angles (deg): 24.91 24.91 24.91
With the nearest neighbours (Å) after each atom.
Fractional coordinates of all 4 atoms:
Te: 0.5058 0.5058 0.5058  3 S 2.79
S: 0.6452 0.6452 0.6452  3 Mn 2.16
S: 0.0930 0.0930 0.0930  1 Mn 2.05
Mn: 0.0070 0.0070 0.0070  4 S 2.05-2.16

***

Computed, not measured: a relaxed structure of DyLuTlZn at the PBE level of DFT.

total energy: -3.493 eV/atom
DOS(E_F): 3.934 states/eV/cell
total magnetic moment: 0.000 μB per atom
energy of formation from the pure elements: -0.30 eV per atom
theoretical density: 10.289 g/cm3

a b c (Å): 5.1752 5.1752 5.1752
angles (deg): 60.00 60.00 60.00
With the nearest neighbours (Å) after each atom.
Fractional coordinates of all 4 atoms:
Dy: 0.2500 0.2500 0.2500  4 Tl 3.17, 4 Zn 3.17
Tl: 0.5000 0.5000 0.5000  4 Lu 3.17, 4 Dy 3.17
Zn: 0.0000 0.0000 0.0000  4 Dy 3.17, 4 Lu 3.17
Lu: 0.7500 0.7500 0.7500  4 Zn 3.17, 4 Tl 3.17

***

Computed, not measured: a relaxed structure of HfCo2MoH at the PBE level of DFT.

total energy: -7.714 eV/atom
DOS(E_F): 5.222 states/eV/cell
total magnetic moment: 0.000 μB per atom
theoretical density: 11.153 g/cm3

a b c (Å): 3.8588 3.8588 3.9327
angles (deg): 90.00 90.00 90.00
With the nearest neighbours (Å) after each atom.
Fractional coordinates of all 5 atoms:
H: 0.0000 0.0000 0.0000  4 Co 1.93, 2 Mo 1.97
Co: 0.5000 0.0000 0.0000  2 H 1.93
Co: 0.0000 0.5000 0.0000  2 H 1.93
Mo: 0.0000 0.0000 0.5000  2 H 1.97
Hf: 0.5000 0.5000 0.5000  4 Mo 2.73, 8 Co 2.75

***

Computed, not measured: a relaxed structure of CaZn2HgAu4 at the PBE level of DFT.

total energy: -2.486 eV/atom
DOS(E_F): 1.455 states/eV/cell
total magnetic moment: 0.000 μB per atom
energy of formation from the pure elements: -0.24 eV per atom
theoretical density: 12.486 g/cm3

a b c (Å): 4.8619 4.8619 8.0381
angles (deg): 72.40 72.40 60.00
With the nearest neighbours (Å) after each atom.
Fractional coordinates of all 8 atoms:
Au: 0.3762 0.3762 0.8715  4 Zn 2.72-2.92, 1 Hg 2.80, 3 Ca 2.97
Au: 0.8677 0.8677 0.3970  4 Zn 2.79-3.07, 3 Hg 2.91, 1 Ca 2.99
Au: 0.1323 0.1323 0.6030  4 Zn 2.79-3.07, 3 Hg 2.91, 1 Ca 2.99
Au: 0.6238 0.6238 0.1285  4 Zn 2.72-2.92, 1 Hg 2.80, 3 Ca 2.97
Ca: 0.0000 0.0000 0.0000  8 Au 2.97-2.99, 6 Zn 3.31
Zn: 0.7443 0.7443 0.7670  5 Au 2.72-2.92
Zn: 0.2557 0.2557 0.2330  5 Au 2.72-2.92
Hg: 0.5000 0.5000 0.5000  8 Au 2.80-2.91

***

Computed, not measured: a relaxed structure of MgInTcSb2 at the PBE level of DFT.

formation energy from raw total energies: 1.356 eV/atom
total energy: -3.232 eV/atom
DOS(E_F): 4.079 states/eV/cell
total magnetic moment: 0.769 μB per atom
theoretical density: 4.976 g/cm3

a b c (Å): 5.6268 5.0664 5.6268
angles (deg): 90.00 90.00 90.00
With the nearest neighbours (Å) after each atom.
Fractional coordinates of all 5 atoms:
Sb: 0.5000 0.0000 0.0000  2 In 2.81
Sb: 0.0000 0.0000 0.5000  2 In 2.81
Mg: 0.0000 0.5000 0.0000  2 In 2.53
In: 0.0000 0.0000 0.0000  2 Mg 2.53, 4 Sb 2.81
Tc: 0.5000 0.5000 0.5000  8 Sb 3.79, 4 Mg 3.98

***

Computed, not measured: a relaxed structure of BaZrSbI2 at the PBE level of DFT.

ΔE to the lowest computed polymorph: 1.180 eV per atom
formation energy from raw total energies: 0.443 eV/atom
total energy: -3.096 eV/atom
DOS(E_F): 4.181 states/eV/cell
total magnetic moment: 0.200 μB per atom
theoretical density: 3.556 g/cm3

a b c (Å): 6.4301 6.4301 6.8234
angles (deg): 90.00 90.00 90.00
With the nearest neighbours (Å) after each atom.
Fractional coordinates of all 5 atoms:
Zr: 0.5000 0.5000 0.5000  4 Sb 4.55, 8 I 4.69
I: 0.5000 0.0000 0.0000  2 Ba 3.22
I: 0.0000 0.5000 0.0000  2 Ba 3.22
Ba: 0.0000 0.0000 0.0000  4 I 3.22, 2 Sb 3.41
Sb: 0.0000 0.0000 0.5000  2 Ba 3.41

***

Computed, not measured: a relaxed structure of Be2RuRh at the PBE level of DFT.

total energy: -5.868 eV/atom
DOS(E_F): 3.384 states/eV/cell
total magnetic moment: 0.000 μB per atom
energy of formation from the pure elements: 0.15 eV per atom
theoretical density: 7.719 g/cm3

a b c (Å): 2.6229 2.6229 7.6765
angles (deg): 90.00 90.00 115.27
With the nearest neighbours (Å) after each atom.
Fractional coordinates of all 4 atoms:
Rh: 0.0000 0.0000 0.4703  2 Be 2.24
Ru: 0.5000 0.5000 0.7765  2 Be 2.28
Be: 0.5000 0.5000 0.2430  2 Rh 2.24, 2 Be 2.27
Be: 0.0000 0.0000 0.0102  2 Be 2.27, 2 Ru 2.28